Record 1
# La3TcTe, PBEsol geometry, DFT SCAN
# E_tot, eV per formula unit: -199.2
# Symmetry: Pm-3m (221)
# Magnetic moment, μB per formula unit: 3.49
data_La3TcTe
_cell_length_a 5.8364
_cell_length_b 5.8364
_cell_length_c 5.8364
_cell_angle_alpha 90.00
_cell_angle_beta 90.00
_cell_angle_gamma 90.00
_symmetry_space_group_name_H-M 'P 1'
_symmetry_Int_Tables_number 1
loop_
_symmetry_equiv_pos_as_xyz
'x,y,z'
loop_
_atom_site_label
_atom_site_type_symbol
_atom_site_fract_x
_atom_site_fract_y
_atom_site_fract_z
Te1 Te 0.0000 0.0000 0.0000
La1 La 0.0000 0.5000 0.0000
Tc1 Tc 0.5000 0.5000 0.5000
La2 La 0.0000 0.0000 0.5000
La3 La 0.5000 0.0000 0.0000



Record 2
# LiP2Ru, PBEsol geometry, DFT SCAN
# ΔH_f (0 K), eV/atom: 0.05
# E_tot, eV per formula unit: -57.8
# Symmetry: R3m (160)
# Magnetic moment, μB per formula unit: 0.00
# Distance to the lowest polymorph of the same formula, kJ per mole of atoms: 41.3
data_LiP2Ru
_cell_length_a 2.9397
_cell_length_b 2.9397
_cell_length_c 7.5817
_cell_angle_alpha 78.82
_cell_angle_beta 78.82
_cell_angle_gamma 60.00
_symmetry_space_group_name_H-M 'P 1'
_symmetry_Int_Tables_number 1
loop_
_symmetry_equiv_pos_as_xyz
'x,y,z'
loop_
_atom_site_label
_atom_site_type_symbol
_atom_site_fract_x
_atom_site_fract_y
_atom_site_fract_z
Li1 Li 0.2544 0.2544 0.2367
P1 P 0.0097 0.0097 0.9708
P2 P 0.7489 0.7489 0.7533
Ru1 Ru 0.4869 0.4869 0.5392



Record 3
# CdFeAg, PBEsol geometry, DFT SCAN
# ΔH_f (0 K), eV/atom: 0.29
# E_tot, eV per formula unit: -79.0
# Symmetry: P3m1 (156)
# Magnetic moment, μB per formula unit: 2.95
# Distance to the lowest polymorph of the same formula, kJ per mole of atoms: 8.1
data_CdFeAg
_cell_length_a 2.7392
_cell_length_b 4.4822
_cell_length_c 4.4822
_cell_angle_alpha 120.00
_cell_angle_beta 90.00
_cell_angle_gamma 90.00
_symmetry_space_group_name_H-M 'P 1'
_symmetry_Int_Tables_number 1
loop_
_symmetry_equiv_pos_as_xyz
'x,y,z'
loop_
_atom_site_label
_atom_site_type_symbol
_atom_site_fract_x
_atom_site_fract_y
_atom_site_fract_z
Fe1 Fe 0.3066 0.3333 0.6667
Cd1 Cd 0.6604 0.6667 0.3333
Ag1 Ag 0.0330 0.0000 0.0000



Record 4
# Y2InPb, PBEsol geometry, DFT SCAN
# ΔH_f (0 K), eV/atom: -0.54
# E_tot, eV per formula unit: -167.0
# Symmetry: Pmmm (47)
# Magnetic moment, μB per formula unit: 0.00
data_Y2InPb
_cell_length_a 3.5574
_cell_length_b 5.1718
_cell_length_c 6.1919
_cell_angle_alpha 90.00
_cell_angle_beta 90.00
_cell_angle_gamma 90.00
_symmetry_space_group_name_H-M 'P 1'
_symmetry_Int_Tables_number 1
loop_
_symmetry_equiv_pos_as_xyz
'x,y,z'
loop_
_atom_site_label
_atom_site_type_symbol
_atom_site_fract_x
_atom_site_fract_y
_atom_site_fract_z
Y1 Y 0.5000 0.5000 0.3753
Y2 Y 0.0000 0.0000 0.8746
Pb1 Pb 0.5000 0.5000 0.8754
In1 In 0.0000 0.0000 0.3747



Record 5
# Ti5Mn7, PBEsol geometry, DFT SCAN
# ΔH_f (0 K), eV/atom: -0.19
# E_tot, eV per formula unit: -210.2
# Symmetry: P-3m1 (164)
# Magnetic moment, μB per formula unit: 0.02
data_Ti5Mn7
_cell_length_a 4.7428
_cell_length_b 4.7428
_cell_length_c 7.7916
_cell_angle_alpha 90.00
_cell_angle_beta 90.00
_cell_angle_gamma 120.00
_symmetry_space_group_name_H-M 'P 1'
_symmetry_Int_Tables_number 1
loop_
_symmetry_equiv_pos_as_xyz
'x,y,z'
loop_
_atom_site_label
_atom_site_type_symbol
_atom_site_fract_x
_atom_site_fract_y
_atom_site_fract_z
Mn1 Mn 0.8269 0.1731 0.7425
Mn2 Mn 0.0000 0.0000 0.5000
Mn3 Mn 0.1731 0.8269 0.2575
Ti1 Ti 0.3333 0.6667 0.5598
Mn4 Mn 0.3463 0.1731 0.7425
Ti2 Ti 0.3333 0.6667 0.9296
Mn5 Mn 0.1731 0.3463 0.2575
Ti3 Ti 0.6667 0.3333 0.4402
Ti4 Ti 0.0000 0.0000 0.0000
Ti5 Ti 0.6667 0.3333 0.0704
Mn6 Mn 0.8269 0.6537 0.7425
Mn7 Mn 0.6537 0.8269 0.2575



Record 6
# K2Hg, PBEsol geometry, DFT SCAN
# ΔH_f (0 K), eV/atom: -0.12
# E_tot, eV per formula unit: -85.2
# Symmetry: P-3m1 (164)
# Magnetic moment, μB per formula unit: 0.00
# Distance to the lowest polymorph of the same formula, kJ per mole of atoms: 8.3
data_K2Hg
_cell_length_a 4.4327
_cell_length_b 5.7509
_cell_length_c 5.7509
_cell_angle_alpha 120.00
_cell_angle_beta 90.00
_cell_angle_gamma 90.00
_symmetry_space_group_name_H-M 'P 1'
_symmetry_Int_Tables_number 1
loop_
_symmetry_equiv_pos_as_xyz
'x,y,z'
loop_
_atom_site_label
_atom_site_type_symbol
_atom_site_fract_x
_atom_site_fract_y
_atom_site_fract_z
K1 K 0.7147 0.3333 0.6667
Hg1 Hg 0.0000 0.0000 0.0000
K2 K 0.2853 0.6667 0.3333



Record 7
# KLi3Pd, PBEsol geometry, DFT SCAN
# ΔH_f (0 K), eV/atom: -0.10
# E_tot, eV per formula unit: -48.8
# Symmetry: Pm-3m (221)
# Magnetic moment, μB per formula unit: 0.00
# Distance to the lowest polymorph of the same formula, kJ per mole of atoms: 0.0
data_KLi3Pd
_cell_length_a 4.9854
_cell_length_b 4.9854
_cell_length_c 4.9854
_cell_angle_alpha 90.00
_cell_angle_beta 90.00
_cell_angle_gamma 90.00
_symmetry_space_group_name_H-M 'P 1'
_symmetry_Int_Tables_number 1
loop_
_symmetry_equiv_pos_as_xyz
'x,y,z'
loop_
_atom_site_label
_atom_site_type_symbol
_atom_site_fract_x
_atom_site_fract_y
_atom_site_fract_z
Pd1 Pd 0.0000 0.0000 0.0000
Li1 Li 0.0000 0.5000 0.0000
Li2 Li 0.5000 0.0000 0.0000
Li3 Li 0.0000 0.0000 0.5000
K1 K 0.5000 0.5000 0.5000



Record 8
# Ta3BeSe, PBEsol geometry, DFT SCAN
# E_tot, eV per formula unit: -219.9
# Symmetry: Pm-3m (221)
# Magnetic moment, μB per formula unit: 0.00
data_Ta3BeSe
_cell_length_a 4.3948
_cell_length_b 4.3948
_cell_length_c 4.3948
_cell_angle_alpha 90.00
_cell_angle_beta 90.00
_cell_angle_gamma 90.00
_symmetry_space_group_name_H-M 'P 1'
_symmetry_Int_Tables_number 1
loop_
_symmetry_equiv_pos_as_xyz
'x,y,z'
loop_
_atom_site_label
_atom_site_type_symbol
_atom_site_fract_x
_atom_site_fract_y
_atom_site_fract_z
Be1 Be 0.0000 0.0000 0.0000
Ta1 Ta 0.0000 0.5000 0.0000
Se1 Se 0.5000 0.5000 0.5000
Ta2 Ta 0.0000 0.0000 0.5000
Ta3 Ta 0.5000 0.0000 0.0000



Record 9
# NaLiCaAu2, PBEsol geometry, DFT SCAN
# ΔH_f (0 K), eV/atom: 0.27
# E_tot, eV per formula unit: -153.3
# Symmetry: P4/mmm (123)
# Magnetic moment, μB per formula unit: 0.00
data_NaLiCaAu2
_cell_length_a 5.0719
_cell_length_b 5.0719
_cell_length_c 5.1897
_cell_angle_alpha 90.00
_cell_angle_beta 90.00
_cell_angle_gamma 90.00
_symmetry_space_group_name_H-M 'P 1'
_symmetry_Int_Tables_number 1
loop_
_symmetry_equiv_pos_as_xyz
'x,y,z'
loop_
_atom_site_label
_atom_site_type_symbol
_atom_site_fract_x
_atom_site_fract_y
_atom_site_fract_z
Na1 Na 0.0000 0.0000 0.0000
Ca1 Ca 0.0000 0.0000 0.5000
Au1 Au 0.5000 0.0000 0.0000
Au2 Au 0.0000 0.5000 0.0000
Li1 Li 0.5000 0.5000 0.5000



Record 10
# Mn2NiMo, PBEsol geometry, DFT SCAN
# ΔH_f (0 K), eV/atom: 0.21
# E_tot, eV per formula unit: -86.7
# Symmetry: R-3m (166)
# Magnetic moment, μB per formula unit: 6.52
data_Mn2NiMo
_cell_length_a 2.5728
_cell_length_b 2.5728
_cell_length_c 8.5684
_cell_angle_alpha 81.37
_cell_angle_beta 81.37
_cell_angle_gamma 60.00
_symmetry_space_group_name_H-M 'P 1'
_symmetry_Int_Tables_number 1
loop_
_symmetry_equiv_pos_as_xyz
'x,y,z'
loop_
_atom_site_label
_atom_site_type_symbol
_atom_site_fract_x
_atom_site_fract_y
_atom_site_fract_z
Mn1 Mn 0.2551 0.2551 0.2347
Mn2 Mn 0.7449 0.7449 0.7653
Ni1 Ni 0.0000 0.0000 0.0000
Mo1 Mo 0.5000 0.5000 0.5000



Record 11
# Ca2ScTc, PBEsol geometry, DFT SCAN
# ΔH_f (0 K), eV/atom: 0.28
# E_tot, eV per formula unit: -67.5
# Symmetry: Immm (71)
# Magnetic moment, μB per formula unit: 0.37
# Distance to the lowest polymorph of the same formula, kJ per mole of atoms: 0.0
data_Ca2ScTc
_cell_length_a 3.2355
_cell_length_b 4.2007
_cell_length_c 8.7315
_cell_angle_alpha 103.92
_cell_angle_beta 100.68
_cell_angle_gamma 90.00
_symmetry_space_group_name_H-M 'P 1'
_symmetry_Int_Tables_number 1
loop_
_symmetry_equiv_pos_as_xyz
'x,y,z'
loop_
_atom_site_label
_atom_site_type_symbol
_atom_site_fract_x
_atom_site_fract_y
_atom_site_fract_z
Ca1 Ca 0.3426 0.3426 0.6852
Ca2 Ca 0.6574 0.6574 0.3148
Tc1 Tc 0.0000 0.5000 0.0000
Sc1 Sc 0.5000 0.0000 0.0000



Record 12
# LuThRu2, PBEsol geometry, DFT SCAN
# ΔH_f (0 K), eV/atom: -0.57
# E_tot, eV per formula unit: -223.2
# Symmetry: Fm-3m (225)
# Magnetic moment, μB per formula unit: 0.00
data_LuThRu2
_cell_length_a 4.8029
_cell_length_b 4.8029
_cell_length_c 4.8029
_cell_angle_alpha 60.00
_cell_angle_beta 60.00
_cell_angle_gamma 60.00
_symmetry_space_group_name_H-M 'P 1'
_symmetry_Int_Tables_number 1
loop_
_symmetry_equiv_pos_as_xyz
'x,y,z'
loop_
_atom_site_label
_atom_site_type_symbol
_atom_site_fract_x
_atom_site_fract_y
_atom_site_fract_z
Lu1 Lu 0.5000 0.5000 0.5000
Th1 Th 0.0000 0.0000 0.0000
Ru1 Ru 0.2500 0.2500 0.2500
Ru2 Ru 0.7500 0.7500 0.7500